Record 1
The following is a GGA-PBE calculation of a relaxed KMg2BeH crystal, from the Alexandria database.

a b c (Å): 6.4774 6.4774 4.3551
angles (deg): 90.00 90.00 90.00
Positions (direct):
K: 0.0000 0.0000 0.0000
Mg: 0.0000 0.5000 0.0000
Mg: 0.5000 0.0000 0.0000
Be: 0.5000 0.5000 0.5000
H: 0.0000 0.0000 0.5000

Computed properties:
- total magnetization (μB per formula unit) = 0.0
- DFT total energy (Ry/atom) = -0.075
- calculated volume (Å³/atom) = 36.54

Record 2
The following is a GGA-PBE calculation of a relaxed Hg2SbOs crystal, from the Alexandria database.

a b c (Å): 3.0918 3.0918 10.8927
angles (deg): 90.00 90.00 118.22
Positions (direct):
Hg: 0.0000 0.0000 0.0000
Hg: 0.5000 0.5000 0.2706
Sb: 0.5000 0.5000 0.6798
Os: 0.0000 0.0000 0.4888

Computed properties:
- total magnetization (μB per formula unit) = 0.0
- DFT total energy (Ry/atom) = -0.253
- calculated volume (Å³/atom) = 22.94
- raw formation energy (eV/atom) = 0.549

Record 3
The following is a GGA-PBE calculation of a relaxed Nd4Zn3Au5 crystal, from the Alexandria database.

a b c (Å): 7.1130 4.6491 8.1530
angles (deg): 90.00 90.16 90.00
Positions (direct):
Nd: 0.0000 0.0000 0.0000
Nd: 0.0049 0.5000 0.5524
Nd: 0.4951 0.0000 0.0593
Nd: 0.5061 0.5000 0.4916
Zn: 0.3059 0.0000 0.6985
Zn: 0.7067 0.5000 0.8566
Zn: 0.7944 0.0000 0.3580
Au: 0.2199 0.5000 0.1866
Au: 0.2263 0.0000 0.3818
Au: 0.2854 0.5000 0.8462
Au: 0.7275 0.0000 0.6893
Au: 0.7727 0.5000 0.1877

Computed properties:
- total magnetization (μB per formula unit) = 0.0
- ΔH_f (0 K) (eV per atom) = -0.6859
- DFT total energy (Ry/atom) = -0.291
- calculated volume (Å³/atom) = 22.47

Record 4
The following is a GGA-PBE calculation of a relaxed AlInBr3 crystal, from the Alexandria database.

a b c (Å): 5.6561 5.6561 5.6561
angles (deg): 90.00 90.00 90.00
Positions (direct):
Al: 0.0000 0.0000 0.0000
In: 0.5000 0.5000 0.5000
Br: 0.0000 0.5000 0.5000
Br: 0.5000 0.0000 0.5000
Br: 0.5000 0.5000 0.0000

Computed properties:
- total magnetization (μB per formula unit) = 0.0
- E above lowest polymorph (eV/f.u.) = 2.501
- DFT total energy (Ry/atom) = -0.194
- calculated volume (Å³/atom) = 36.19
- raw formation energy (eV/atom) = -0.339

Record 5
The following is a GGA-PBE calculation of a relaxed InSn2Pt crystal, from the Alexandria database.

a b c (Å): 9.3644 9.3644 9.3644
angles (deg): 149.66 149.66 43.45
Positions (direct):
In: 0.0000 0.0000 0.0000
In: 0.7500 0.2500 0.5000
Sn: 0.1778 0.6250 0.0528
Sn: 0.3750 0.4278 0.5528
Sn: 0.5722 0.1250 0.9472
Sn: 0.8750 0.8222 0.4472
Pt: 0.2500 0.7500 0.5000
Pt: 0.5000 0.5000 0.0000

Computed properties:
- total magnetization (μB per formula unit) = 0.0
- E above lowest polymorph (eV/f.u.) = 0.670
- ΔH_f (0 K) (eV per atom) = -0.0342
- DFT total energy (Ry/atom) = -0.311
- calculated volume (Å³/atom) = 26.13

Record 6
The following is a GGA-PBE calculation of a relaxed DyNi2Au crystal, from the Alexandria database.

a b c (Å): 4.5088 4.5088 4.5088
angles (deg): 60.00 60.00 60.00
Positions (direct):
Dy: 0.0000 0.0000 0.0000
Ni: 0.2500 0.2500 0.2500
Ni: 0.7500 0.7500 0.7500
Au: 0.5000 0.5000 0.5000

Computed properties:
- total magnetization (μB per formula unit) = 0.0
- ΔH_f (0 K) (eV per atom) = -0.3520
- DFT total energy (Ry/atom) = -0.383
- calculated volume (Å³/atom) = 16.20

Record 7
The following is a GGA-PBE calculation of a relaxed BaCaTe2 crystal, from the Alexandria database.

a b c (Å): 9.0312 9.0312 9.0312
angles (deg): 130.58 130.58 72.48
Positions (direct):
Ba: 0.0000 0.0000 0.0000
Ba: 0.7500 0.2500 0.5000
Ca: 0.2500 0.7500 0.5000
Ca: 0.5000 0.5000 0.0000
Te: 0.1612 0.6250 0.0362
Te: 0.3750 0.4112 0.5362
Te: 0.5888 0.1250 0.9638
Te: 0.8750 0.8388 0.4638

Computed properties:
- total magnetization (μB per formula unit) = 0.0
- E above lowest polymorph (eV/f.u.) = 0.944
- DFT total energy (Ry/atom) = -0.295
- calculated volume (Å³/atom) = 51.91
- raw formation energy (eV/atom) = -1.460

Record 8
The following is a GGA-PBE calculation of a relaxed U2FePC crystal, from the Alexandria database.

a b c (Å): 5.8310 3.8190 7.4918
angles (deg): 90.00 102.27 90.00
Positions (direct):
U: 0.2154 0.2500 0.3683
U: 0.2343 0.2500 0.9469
U: 0.7657 0.7500 0.0531
U: 0.7846 0.7500 0.6317
Fe: 0.4971 0.2500 0.7774
Fe: 0.5029 0.7500 0.2226
P: 0.2919 0.7500 0.6572
P: 0.7081 0.2500 0.3428
C: 0.1603 0.7500 0.1438
C: 0.8397 0.2500 0.8562

Computed properties:
- total magnetization (μB per formula unit) = 2.5
- ΔH_f (0 K) (eV per atom) = -0.4901
- DFT total energy (Ry/atom) = -0.707
- calculated volume (Å³/atom) = 16.30

Record 9
The following is a GGA-PBE calculation of a relaxed TmThZnMo crystal, from the Alexandria database.

a b c (Å): 5.0332 5.0332 5.0332
angles (deg): 60.00 60.00 60.00
Positions (direct):
Tm: 0.0000 0.0000 0.0000
Th: 0.5000 0.5000 0.5000
Zn: 0.7500 0.7500 0.7500
Mo: 0.2500 0.2500 0.2500

Computed properties:
- total magnetization (μB per formula unit) = 0.0
- ΔH_f (0 K) (eV per atom) = 0.0396
- DFT total energy (Ry/atom) = -0.438
- calculated volume (Å³/atom) = 22.54

Record 10
The following is a GGA-PBE calculation of a relaxed Tl5Ir crystal, from the Alexandria database.

a b c (Å): 6.6402 6.6402 9.4418
angles (deg): 119.41 119.41 27.95
Positions (direct):
Tl: 0.0000 0.0000 0.0000
Tl: 0.3122 0.3122 0.2196
Tl: 0.3816 0.3816 0.6303
Tl: 0.6184 0.6184 0.3697
Tl: 0.6878 0.6878 0.7804
Ir: 0.0000 0.0000 0.5000

Computed properties:
- total magnetization (μB per formula unit) = 0.0
- E above lowest polymorph (eV/f.u.) = 0.000
- ΔH_f (0 K) (eV per atom) = 0.2104
- DFT total energy (Ry/atom) = -0.238
- calculated volume (Å³/atom) = 28.05

Record 11
The following is a GGA-PBE calculation of a relaxed Hf6SnBi3 crystal, from the Alexandria database.

a b c (Å): 8.6668 8.6668 7.5330
angles (deg): 90.00 90.00 117.36
Positions (direct):
Hf: 0.0054 0.9946 0.5000
Hf: 0.0649 0.5290 0.0442
Hf: 0.2221 0.3863 0.3713
Hf: 0.2509 0.7491 0.3645
Hf: 0.3863 0.2221 0.8713
Hf: 0.4710 0.9351 0.0442
Hf: 0.5290 0.0649 0.5442
Hf: 0.6137 0.7779 0.3713
Hf: 0.7491 0.2509 0.8645
Hf: 0.7779 0.6137 0.8713
Hf: 0.9351 0.4710 0.5442
Hf: 0.9946 0.0054 0.0000
Sn: 0.1691 0.8309 0.7520
Sn: 0.8309 0.1691 0.2520
Bi: 0.1128 0.3111 0.7449
Bi: 0.3111 0.1128 0.2449
Bi: 0.4303 0.5697 0.0401
Bi: 0.5697 0.4303 0.5401
Bi: 0.6889 0.8872 0.7449
Bi: 0.8872 0.6889 0.2449

Computed properties:
- total magnetization (μB per formula unit) = 0.0
- ΔH_f (0 K) (eV per atom) = 0.0036
- DFT total energy (Ry/atom) = -0.554
- calculated volume (Å³/atom) = 25.13

Record 12
The following is a GGA-PBE calculation of a relaxed KSe crystal, from the Alexandria database.

a b c (Å): 6.0909 6.0909 7.4511
angles (deg): 90.00 90.00 75.00
Positions (direct):
K: 0.1789 0.1789 0.0000
K: 0.3211 0.3211 0.5000
K: 0.6789 0.6789 0.5000
K: 0.8211 0.8211 0.0000
Se: 0.1163 0.8837 0.6167
Se: 0.3837 0.6163 0.1167
Se: 0.6163 0.3837 0.8833
Se: 0.8837 0.1163 0.3833

Computed properties:
- total magnetization (μB per formula unit) = 0.0
- DFT total energy (Ry/atom) = -0.234
- calculated volume (Å³/atom) = 33.38
- raw formation energy (eV/atom) = -0.898